8
Lattice="-5.5413 5.5413 1.9028 5.5413 -5.5413 1.9028 5.5413 5.5413 -1.9028" Properties=species:S:1:pos:R:3 comment="HfSb, optimized geometry, DFT GGA-PBE" total_magnetization_mub_per_cell=0.00 mass_density_kg_m3=8533 space_group=I4/m dft_energy_ev_per_atom=-7.165 e_form_raw_ev_per_atom=-0.127 pbc="T T T"
Hf 7.0465 0.7343 0.0000
Hf 0.7343 4.0361 0.0000
Hf 4.8070 1.5052 1.9028
Hf -1.5052 4.8070 1.9028
Sb 2.3492 1.5654 0.0000
Sb 3.9759 -3.1921 1.9028
Sb 1.5654 8.7334 0.0000
Sb 3.1921 3.9759 1.9028



8
Lattice="-4.4153 4.4153 4.4153 4.4153 -4.4153 4.4153 4.4153 4.4153 -4.4153" Properties=species:S:1:pos:R:3 comment="HfSb, optimized geometry, DFT GGA-PBE" total_magnetization_mub_per_cell=1.74 mass_density_kg_m3=5792 space_group=I-43m dft_energy_ev_per_atom=-6.885 e_form_raw_ev_per_atom=0.153 pbc="T T T"
Hf 1.1147 1.1147 -1.1147
Hf 1.1147 -1.1147 1.1147
Hf -1.1147 1.1147 1.1147
Hf 3.3006 3.3006 3.3006
Sb 2.7715 2.7715 -2.7715
Sb 2.7715 -2.7715 2.7715
Sb 1.6438 1.6438 1.6438
Sb -2.7715 2.7715 2.7715



32
Lattice="7.4537 0.0000 0.0000 0.0000 8.8190 0.0000 0.0000 0.0000 10.7724" Properties=species:S:1:pos:R:3 comment="Hf5Sb3, optimized geometry, DFT GGA-PBE" total_magnetization_mub_per_cell=0.00 mass_density_kg_m3=11798 space_group=Pnma dft_energy_ev_per_atom=-8.232 e_form_raw_ev_per_atom=-0.465 pbc="T T T"
Hf 0.2034 2.2048 0.1186
Hf 1.0681 6.6143 3.0670
Hf 1.4656 2.2048 2.9935
Hf 1.4810 0.5077 6.0182
Hf 1.4810 3.9018 6.0182
Hf 2.2458 4.9173 0.6320
Hf 2.2458 8.3113 0.6320
Hf 2.2613 6.6143 8.3797
Hf 2.6587 2.2048 8.4532
Hf 3.5234 6.6143 5.5048
Hf 3.9303 2.2048 5.2676
Hf 4.7949 6.6143 2.3192
Hf 5.1924 2.2048 2.3927
Hf 5.2078 0.5077 10.1404
Hf 5.2078 3.9018 10.1404
Hf 5.9727 4.9173 4.7542
Hf 5.9727 8.3113 4.7542
Hf 5.9881 6.6143 7.7789
Hf 6.3856 2.2048 7.7053
Hf 7.2502 6.6143 10.6538
Sb 0.5436 0.0756 8.8843
Sb 0.5436 4.3339 8.8843
Sb 0.6114 6.6143 5.8707
Sb 3.1154 2.2048 0.4846
Sb 3.1833 4.4852 3.4981
Sb 3.1833 8.7434 3.4981
Sb 4.2704 0.0756 7.2743
Sb 4.2704 4.3339 7.2743
Sb 4.3383 6.6143 10.2878
Sb 6.8422 2.2048 4.9016
Sb 6.9101 4.4852 1.8881
Sb 6.9101 8.7434 1.8881



12
Lattice="1.8934 -5.2224 0.0000 1.8934 5.2224 0.0000 0.0000 0.0000 14.0187" Properties=species:S:1:pos:R:3 comment="HfSb, optimized geometry, DFT GGA-PBE" total_magnetization_mub_per_cell=0.00 mass_density_kg_m3=10790 space_group=Cmcm dft_energy_ev_per_atom=-7.583 e_form_raw_ev_per_atom=-0.545 pbc="T T T"
Hf 1.8934 4.4802 8.5326
Hf 1.8934 4.4802 12.4954
Hf 1.8934 1.1783 10.5140
Hf 1.8934 -1.1783 3.5047
Hf 1.8934 -4.4802 1.5233
Hf 1.8934 -4.4802 5.4861
Sb 1.8934 1.8278 3.5047
Sb 1.8934 1.4855 7.6965
Sb 1.8934 1.4855 13.3316
Sb 1.8934 -1.4855 0.6871
Sb 1.8934 -1.4855 6.3222
Sb 1.8934 -1.8278 10.5140